A plane-wave DFT calculation with PBE+U was carried out for crystalline AcY2MoO8 at its relaxed geometry.

Results
volume	184	Å³ per cell
SG	Cmmm (65)
electronic total energy	-95.580	eV/cell

Geometry as POSCAR:
```
AcY2MoO8
1.0
3.5676 -3.5909 0.0000
3.5676 3.5909 0.0000
0.0000 0.0000 7.1658
Ac Y Mo O
1 2 1 8
Cartesian
0.0000 0.0000 0.0000
3.5676 0.0000 1.9076
3.5676 0.0000 5.2582
0.0000 0.0000 3.5829
3.5676 2.2607 2.1594
3.5676 2.2607 5.0064
1.9736 0.0000 3.5829
2.3377 0.0000 0.0000
4.7975 0.0000 0.0000
5.1617 0.0000 3.5829
3.5676 -2.2607 2.1594
3.5676 -2.2607 5.0064
```